# 1
DFT (GGA-PBE) results for a relaxed structure of SiNi2N.

Unit cell a=4.4770 b=4.4770 c=6.0084 alpha=68.13 beta=68.13 gamma=90.00
With the nearest neighbours (Å) after each atom.
Sites, in units of the cell vectors:
1 Ni 0.5262 0.1250 0.2500  2 N 1.83
2 Ni 0.2238 0.6250 0.2500  2 N 1.83
3 Ni 0.3750 0.4738 0.7500  2 N 1.83
4 Ni 0.8750 0.7762 0.7500  2 N 1.83
5 Si 0.0000 0.0000 0.0000  4 Ni 2.31
6 Si 0.7500 0.2500 0.5000  4 Ni 2.31
7 N 0.5000 0.5000 0.0000  4 Ni 1.83
8 N 0.2500 0.7500 0.5000  4 Ni 1.83

Calculated values
The calculation puts the uncorrected formation energy at 0.17 eV/atom. The value obtained for the total magnetization is 0.0 μB/cell. The calculation puts the energy above the lowest structure with this stoichiometry at 0 meV/atom. For the mass density, the calculation gives 5.17 g cm⁻³.

=====

# 2
DFT (GGA-PBE) results for a relaxed structure of Si3NiN.

Unit cell a=4.2548 b=4.2548 c=4.2548 alpha=90.00 beta=90.00 gamma=90.00
With the nearest neighbours (Å) after each atom.
Sites, in units of the cell vectors:
1 Ni 0.0000 0.0000 0.0000  6 Si 2.13
2 Si 0.0000 0.5000 0.0000  2 Ni 2.13
3 Si 0.0000 0.0000 0.5000  2 Ni 2.13
4 Si 0.5000 0.0000 0.0000  2 Ni 2.13
5 N 0.5000 0.5000 0.5000  12 Si 3.01

Calculated values
The calculation puts the uncorrected formation energy at 1.13 eV/atom. The value obtained for the total magnetization is 0.0 μB/cell. The calculation puts the energy above the lowest structure with this stoichiometry at 572 meV/atom. For the mass density, the calculation gives 3.38 g cm⁻³.

=====

# 3
DFT (GGA-PBE) results for a relaxed structure of TbSiNiN.

Unit cell a=3.6596 b=3.6596 c=8.2637 alpha=90.00 beta=90.00 gamma=90.00
With the nearest neighbours (Å) after each atom.
Sites, in units of the cell vectors:
1 Tb 0.0000 0.5000 0.8464  1 N 2.30
2 Tb 0.5000 0.0000 0.1536  1 N 2.30
3 Si 0.0000 0.5000 0.3389  1 N 1.76
4 Si 0.5000 0.0000 0.6611  1 N 1.76
5 Ni 0.0000 0.0000 0.5000  4 Si 2.26
6 Ni 0.5000 0.5000 0.5000  4 Si 2.26
7 N 0.5000 0.0000 0.8747  1 Si 1.76
8 N 0.0000 0.5000 0.1253  1 Si 1.76

Calculated values
The calculation puts the uncorrected formation energy at -1.13 eV/atom. The value obtained for the total magnetization is 0.0 μB/cell. For the mass density, the calculation gives 7.79 g cm⁻³.

=====

# 4
DFT (GGA-PBE) results for a relaxed structure of SiNiTeN2.

Unit cell a=3.4667 b=3.4667 c=7.2109 alpha=90.00 beta=90.00 gamma=90.00
With the nearest neighbours (Å) after each atom.
Sites, in units of the cell vectors:
1 Ni 0.5000 0.5000 0.5000  4 Te 2.45
2 Si 0.0000 0.0000 0.0000  4 N 1.73
3 Te 0.0000 0.0000 0.5000  4 Ni 2.45
4 N 0.0000 0.5000 0.0000  2 Si 1.73
5 N 0.5000 0.0000 0.0000  2 Si 1.73

Calculated values
The calculation puts the uncorrected formation energy at 0.64 eV/atom. The value obtained for the total magnetization is 0.0 μB/cell. The calculation puts the energy above the lowest structure with this stoichiometry at 0 meV/atom. For the mass density, the calculation gives 4.64 g cm⁻³.

=====

# 5
DFT (GGA-PBE) results for a relaxed structure of SiNiTeN2.

Unit cell a=3.7832 b=3.7832 c=5.2277 alpha=90.00 beta=90.00 gamma=90.00
With the nearest neighbours (Å) after each atom.
Sites, in units of the cell vectors:
1 Ni 0.0000 0.0000 0.0000  4 N 1.89
2 Si 0.5000 0.5000 0.5000  4 Te 2.68
3 Te 0.0000 0.0000 0.5000  2 Ni 2.61, 4 Si 2.68
4 N 0.0000 0.5000 0.0000  2 Ni 1.89
5 N 0.5000 0.0000 0.0000  2 Ni 1.89

Calculated values
The calculation puts the uncorrected formation energy at 1.40 eV/atom. The value obtained for the total magnetization is 0.0 μB/cell. The calculation puts the energy above the lowest structure with this stoichiometry at 760 meV/atom. For the mass density, the calculation gives 5.38 g cm⁻³.

=====

# 6
DFT (GGA-PBE) results for a relaxed structure of ThSiNiN.

Unit cell a=3.8181 b=3.8181 c=8.1414 alpha=90.00 beta=90.00 gamma=90.00
With the nearest neighbours (Å) after each atom.
Sites, in units of the cell vectors:
1 Th 0.0000 0.5000 0.8306  1 N 2.42
2 Th 0.5000 0.0000 0.1694  1 N 2.42
3 Si 0.0000 0.5000 0.3513  1 N 1.82
4 Si 0.5000 0.0000 0.6487  1 N 1.82
5 Ni 0.0000 0.0000 0.5000  4 Si 2.26
6 Ni 0.5000 0.5000 0.5000  4 Si 2.26
7 N 0.5000 0.0000 0.8726  1 Si 1.82
8 N 0.0000 0.5000 0.1274  1 Si 1.82

Calculated values
The calculation puts the uncorrected formation energy at -1.15 eV/atom. The value obtained for the total magnetization is 0.0 μB/cell. For the mass density, the calculation gives 9.31 g cm⁻³.